1.
KTl3Mo: optimized geometry, GGA-PBE.

```
5
Lattice="-2.4234 -4.7884 -0.9163 4.5449 -2.5892 1.5104 -1.7642 -0.0926 5.1498" Properties=species:S:1:pos:R:3 pbc="T T T"
Tl 2.2724 -1.2946 0.7552
Tl -1.2117 -2.3942 -0.4582
Tl -0.8821 -0.0463 2.5749
K 0.1786 -3.7351 2.8720
Mo 0.0000 0.0000 0.0000
```

Properties
- SG = Pm-3m (221)
- M_tot (μB per cell) = 0.0
- polymorph energy (0 for the lowest one) (meV/atom) = 0

=====

2.
TaZn2Ru: optimized geometry, GGA-PBE.

```
4
Lattice="4.4039 0.0000 0.0000 2.2019 3.8139 0.0000 2.2019 1.2713 3.5957" Properties=species:S:1:pos:R:3 pbc="T T T"
Zn 0.0000 0.0000 0.0000
Zn 6.6058 3.8139 2.6968
Ta 2.2019 1.2713 0.8989
Ru 4.4039 2.5426 1.7979
```

Properties
- SG = F-43m (216)
- M_tot (μB per cell) = 0.0
- polymorph energy (0 for the lowest one) (meV/atom) = 62

=====

3.
CaZn2Ag8: optimized geometry, GGA-PBE.

```
11
Lattice="0.0106 -2.5804 -3.5228 4.0157 4.3327 -5.8572 3.1526 -4.8634 3.5668" Properties=species:S:1:pos:R:3 pbc="T T T"
Ag 4.0751 0.5745 -5.8122
Ag 4.2323 -1.7320 -4.1283
Ag 5.5682 0.7405 -3.2244
Ag 3.1038 -3.6856 -0.0010
Ag 5.7550 -1.8482 -1.3277
Ag 1.6107 -3.8516 -2.5888
Ag 2.9466 -1.3791 -1.6849
Ag 1.4238 -1.2629 -4.4854
Ca 0.0053 -1.2902 -1.7614
Zn 4.3808 -3.9284 -2.5166
Zn 2.7980 0.8173 -3.2966
```

Properties
- SG = C2/m (12)
- M_tot (μB per cell) = 0.0
- polymorph energy (0 for the lowest one) (meV/atom) = 0

=====

4.
Tc4AsSe: optimized geometry, GGA-PBE.

```
6
Lattice="-4.1480 -2.7598 -1.4808 -4.3255 2.4344 -1.5424 -1.3985 -0.1071 -5.0048" Properties=species:S:1:pos:R:3 pbc="T T T"
As -7.4040 -0.3243 -6.0210
Tc -4.4008 -0.2157 -5.5141
Tc -3.7010 -0.1621 -3.0097
Tc -5.8655 1.0561 -3.7815
Tc -5.7767 -1.5431 -3.7507
Se 0.0000 0.0000 0.0000
```

Properties
- SG = F-43m (216)
- M_tot (μB per cell) = 0.0
- ΔE_f (raw) (eV/f.u.) = 4.264

=====

5.
CePrSm14: optimized geometry, GGA-PBE.

```
16
Lattice="-2.4240 5.7944 3.6507 2.9977 -2.5850 6.0918 8.6977 4.9988 -2.1589" Properties=species:S:1:pos:R:3 pbc="T T T"
Sm 2.9911 0.9962 2.1817
Sm -0.2478 3.4543 7.0000
Sm 4.1016 5.9536 5.9225
Sm 6.1228 6.4190 2.9417
Sm 8.8575 2.1964 4.1716
Sm 5.3141 3.0557 4.0972
Sm 4.5022 -0.3067 5.2527
Sm 3.8147 4.3489 1.0511
Sm 7.3464 3.4993 1.1007
Sm 7.6356 5.1173 6.0122
Sm -0.5344 1.8507 2.1320
Sm 1.7712 3.9180 4.0218
Sm 3.2803 2.6141 7.0932
Sm 2.6023 7.2467 2.8763
Pr 0.9645 0.5574 5.1763
Ce -1.7465 4.7473 3.9558
```

Properties
- SG = P4/mmm (123)
- M_tot (μB per cell) = 1.1
- E_tot (eV/atom) = -4.77

=====

6.
Sr2AsIr: optimized geometry, GGA-PBE.

```
8
Lattice="8.2835 0.0000 0.0000 0.0000 8.2835 0.0000 4.1417 4.1417 3.0970" Properties=species:S:1:pos:R:3 pbc="T T T"
Sr 6.2126 5.9904 2.3228
Sr 6.4348 2.0709 0.7743
Sr 10.3543 10.5765 2.3228
Sr 1.8487 6.2126 0.7743
As 4.1417 8.2835 1.5485
As 4.1417 4.1417 0.0000
Ir 8.2835 4.1417 1.5485
Ir 0.0000 0.0000 0.0000
```

Properties
- SG = I-42d (122)
- M_tot (μB per cell) = 0.0
- E_tot (eV/atom) = -4.25